A plane-wave DFT calculation with PBE was carried out for Sr2PrIn2Sb4 after structural relaxation.

abc: 8.509 8.509 7.961
angles: 105.73 105.73 31.87
Atoms (fractional coordinates):
Sr1 0.130 0.130 0.075
Sr2 0.870 0.870 0.925
Pr1 0.000 0.000 0.500
In1 0.340 0.340 0.508
In2 0.660 0.660 0.492
Sb1 0.212 0.212 0.724
Sb2 0.498 0.498 0.207
Sb3 0.502 0.502 0.793
Sb4 0.788 0.788 0.276

E_form (uncorrected)	-665	meV/atom
V	291.9	Å³/cell
mass density	5.87	g/cm3
crystal system	monoclinic
space group	C2/m

---

A plane-wave DFT calculation with PBE was carried out for TeSIN2 after structural relaxation.

abc: 4.019 4.019 6.231
angles: 90.00 90.00 90.00
Atoms (fractional coordinates):
Te1 0.000 0.000 0.000
S1 0.000 0.000 0.500
I1 0.500 0.500 0.500
N1 0.000 0.500 0.000
N2 0.500 0.000 0.000

E_form (uncorrected)	1430	meV/atom
V	100.6	Å³/cell
mass density	5.19	g/cm3
crystal system	tetragonal
energy relative to the lowest polymorph listed for this composition	0.00	kcal/mol of atoms
space group	P4/mmm

---

A plane-wave DFT calculation with PBE was carried out for Na3U2RhSe6 after structural relaxation.

abc: 6.863 6.863 7.509
angles: 98.76 98.76 120.00
Atoms (fractional coordinates):
Na1 0.000 0.000 0.000
Na2 0.332 0.668 0.000
Na3 0.668 0.332 0.000
U1 0.167 0.833 0.500
U2 0.833 0.167 0.500
Rh1 0.500 0.500 0.500
Se1 0.107 0.425 0.274
Se2 0.258 0.258 0.725
Se3 0.425 0.107 0.274
Se4 0.575 0.893 0.726
Se5 0.742 0.742 0.275
Se6 0.893 0.575 0.726

E_form (uncorrected)	-997	meV/atom
V	291.7	Å³/cell
mass density	6.39	g/cm3
crystal system	monoclinic
space group	C2/m